Record 1
Compound: CrCdW2
Source: Alexandria
Functional: PBE-GGA
Structure: relaxed

Lattice parameters (Å, degrees): 4.417 2.716 5.499 78.57 90.00 90.00
Element x y z (fractional)
W 0.500 0.243 0.224
W 0.000 0.967 0.987
Cd 0.000 0.565 0.505
Cr 0.500 0.724 0.783

Output
Energy of formation   0.51 eV per atom
Total DFT energy (no corrections)   -8.605 eV per atom



Record 2
Compound: CrCdW2
Source: Alexandria
Functional: PBE-GGA
Structure: relaxed

Lattice parameters (Å, degrees): 4.365 2.709 5.574 75.55 90.00 90.00
Element x y z (fractional)
W 0.000 0.518 0.523
W 0.000 0.982 0.977
Cr 0.500 0.750 0.750
Cd 0.500 0.250 0.250

Output
Energy of formation   0.52 eV per atom
Total DFT energy (no corrections)   -8.594 eV per atom



Record 3
Compound: CrCdW
Source: Alexandria
Functional: PBE-GGA
Structure: relaxed

Lattice parameters (Å, degrees): 6.726 6.726 6.726 155.90 155.90 34.34
Site moments in Bohr magnetons follow the coordinates.
Element x y z (fractional)
Cd 0.997 0.997 0.000  0.00
Cr 0.324 0.324 0.000  2.80
W 0.679 0.679 0.000  -0.01

Output
Energy of formation   0.58 eV per atom
Offset from the most stable computed form   0.121 eV/atom
Total DFT energy (no corrections)   -7.253 eV per atom



Record 4
Compound: CrCd4W
Source: Alexandria
Functional: PBE-GGA
Structure: relaxed

Lattice parameters (Å, degrees): 5.522 5.522 5.522 60.00 60.00 60.00
Site moments in Bohr magnetons follow the coordinates.
Element x y z (fractional)
Cr 0.750 0.750 0.750  3.42
Cd 0.875 0.375 0.375  -0.05
Cd 0.375 0.875 0.375  -0.05
Cd 0.375 0.375 0.375  -0.05
Cd 0.375 0.375 0.875  -0.05
W 0.000 0.000 0.000  -2.40

Output
Energy of formation   0.77 eV per atom
Total DFT energy (no corrections)   -3.602 eV per atom



Record 5
Compound: YCrCd2W
Source: Alexandria
Functional: PBE-GGA
Structure: relaxed

Lattice parameters (Å, degrees): 5.293 4.473 5.293 90.00 90.00 90.00
Site moments in Bohr magnetons follow the coordinates.
Element x y z (fractional)
Cr 0.000 0.500 0.000  2.23
Cd 0.000 0.000 0.500  -0.03
Cd 0.500 0.000 0.000  -0.02
Y 0.500 0.500 0.500  0.10
W 0.000 0.000 0.000  -0.69

Output
Energy of formation   0.86 eV per atom
Total DFT energy (no corrections)   -5.319 eV per atom



Record 6
Compound: YCrCd2
Source: Alexandria
Functional: PBE-GGA
Structure: relaxed

Lattice parameters (Å, degrees): 5.010 5.010 5.010 60.00 60.00 60.00
Site moments in Bohr magnetons follow the coordinates.
Element x y z (fractional)
Y 0.500 0.500 0.500  -0.01
Cr 0.000 0.000 0.000  3.75
Cd 0.750 0.750 0.750  -0.01
Cd 0.250 0.250 0.250  -0.01

Output
Energy of formation   0.02 eV per atom
Total DFT energy (no corrections)   -4.457 eV per atom



Record 7
Compound: YCrCd2
Source: Alexandria
Functional: PBE-GGA
Structure: relaxed

Lattice parameters (Å, degrees): 4.412 4.412 4.618 90.00 90.00 90.00
Site moments in Bohr magnetons follow the coordinates.
Element x y z (fractional)
Cd 0.000 0.000 0.000  -0.04
Cd 0.500 0.500 0.000  -0.04
Y 0.000 0.500 0.500  -0.10
Cr 0.500 0.000 0.500  3.59

Output
Energy of formation   0.10 eV per atom
Total DFT energy (no corrections)   -4.380 eV per atom



Record 8
Compound: YCrCd2
Source: Alexandria
Functional: PBE-GGA
Structure: relaxed

Lattice parameters (Å, degrees): 9.901 9.901 9.901 19.47 19.47 19.47
Site moments in Bohr magnetons follow the coordinates.
Element x y z (fractional)
Y 0.750 0.750 0.750  0.11
Cd 0.508 0.508 0.508  -0.01
Cd 0.992 0.992 0.992  -0.01
Cr 0.250 0.250 0.250  3.66

Output
Energy of formation   0.30 eV per atom
Total DFT energy (no corrections)   -4.178 eV per atom



Record 9
Compound: YCrCd2
Source: Alexandria
Functional: PBE-GGA
Structure: relaxed

Lattice parameters (Å, degrees): 4.995 3.399 5.347 90.01 90.00 90.00
Site moments in Bohr magnetons follow the coordinates.
Element x y z (fractional)
Cd 0.000 0.125 0.961  -0.03
Cd 0.500 0.125 0.302  -0.03
Cr 0.000 0.625 0.436  3.72
Y 0.500 0.625 0.801  0.06

Output
Energy of formation   0.15 eV per atom
Total DFT energy (no corrections)   -4.329 eV per atom



Record 10
Compound: YCrCd2
Source: Alexandria
Functional: PBE-GGA
Structure: relaxed

Lattice parameters (Å, degrees): 4.306 4.306 11.075 78.79 78.79 90.00
Site moments in Bohr magnetons follow the coordinates.
Element x y z (fractional)
Cd 0.599 0.125 0.250  -0.01
Cd 0.375 0.401 0.750  -0.01
Cd 0.875 0.849 0.750  -0.01
Cd 0.151 0.625 0.250  -0.01
Y 0.000 0.000 0.000  -0.03
Y 0.750 0.250 0.500  -0.04
Cr 0.500 0.500 0.000  3.65
Cr 0.250 0.750 0.500  3.64

Output
Energy of formation   0.38 eV per atom
Total DFT energy (no corrections)   -4.099 eV per atom



Record 11
Compound: YCrCd2
Source: Alexandria
Functional: PBE-GGA
Structure: relaxed

Lattice parameters (Å, degrees): 9.625 9.625 9.625 20.51 20.51 20.51
Site moments in Bohr magnetons follow the coordinates.
Element x y z (fractional)
Cd 0.246 0.246 0.246  -0.02
Cd 0.996 0.996 0.996  0.00
Cr 0.504 0.504 0.504  3.57
Y 0.754 0.754 0.754  -0.18

Output
Energy of formation   0.33 eV per atom
Total DFT energy (no corrections)   -4.153 eV per atom



Record 12
Compound: YCrCd2
Source: Alexandria
Functional: PBE-GGA
Structure: relaxed

Lattice parameters (Å, degrees): 3.566 3.566 7.103 90.00 90.00 89.97
Site moments in Bohr magnetons follow the coordinates.
Element x y z (fractional)
Cd 0.000 0.000 0.020  0.00
Cd 0.500 0.500 0.269  -0.02
Cr 0.000 0.000 0.479  3.50
Y 0.500 0.500 0.732  -0.10

Output
Energy of formation   0.14 eV per atom
Total DFT energy (no corrections)   -4.340 eV per atom



> The lowest energy of formation belongs to which entry?

number 6



> Look up the total DFT energy (no corrections) of the eleventh one.

-4.153 eV per atom



> The lowest total DFT energy (no corrections) belongs to which entry?

number 1



> Among the records above, which one has the highest energy of formation?

YCrCd2W